First-principles (meta-GGA SCAN) data for a crystal of AlBiSb2Ir relaxed with PBEsol, as listed in the Alexandria database.

It has space group P4/mmm (No. 123), with a = 5.627 Å, b = 5.627 Å, c = 5.062 Å, α = 90.00°, β = 90.00° and γ = 90.00°. The distinct sites, in fractional coordinates, are Al at (0.000, 0.000, 0.000), Bi at (0.000, 0.000, 0.500), Sb at (0.000, 0.500, 0.500) and Ir at (0.500, 0.500, 0.000).

The mass density comes out at 7.0 Mg/m³. As for the crystal system: tetragonal. The calculation puts the energy at -222.1 eV for the cell shown.